{"formula": "NiBiPCl2", "functional": "PBE", "state": "relaxed", "formation_energy_uncorrected_ev_per_atom": -0.002, "space_group": "P4/mmm, No. 123", "total_energy_ev_per_atom": -3.75, "lattice_angstrom": [[4.5200, 0.0000, 0.0000], [0.0000, 4.5200, 0.0000], [0.0000, 0.0000, 4.8627]], "species": ["Cl", "Cl", "P", "Ni", "Bi"], "fractional_positions": [[0.0000, 0.5000, 0.0000], [0.5000, 0.0000, 0.0000], [0.0000, 0.0000, 0.5000], [0.0000, 0.0000, 0.0000], [0.5000, 0.5000, 0.5000]]}